Below is crystalline Dy8Mg at its relaxed geometry, with properties calculated at the PBE level.

- calculated total energy (eV per atom) = -4.193
- space group = No. 139
- D(E_F) (states/eV/cell) = 14.22
- size of the total moment (μB per formula unit) = 0.000

Cell lengths 8.8091, 8.8091, 8.8091 Å; angles 92.57, 92.57, 155.57 degrees
Last column: nearest neighbours and their distance in Å.
Element x y z (fractional)
Dy  0.0000  0.3358  0.3358  10 Dy 3.39-3.73
Dy  0.0000  0.6642  0.6642  10 Dy 3.39-3.73
Dy  0.3358  0.0000  0.3358  10 Dy 3.39-3.73
Dy  0.3406  0.3406  0.6811  2 Mg 3.32, 6 Dy 3.44-3.63
Dy  0.3406  0.6594  0.0000  2 Mg 3.32, 6 Dy 3.44-3.63
Dy  0.6594  0.3406  0.0000  2 Mg 3.32, 6 Dy 3.44-3.63
Dy  0.6594  0.6594  0.3189  2 Mg 3.32, 6 Dy 3.44-3.63
Dy  0.6642  0.0000  0.6642  10 Dy 3.39-3.73
Mg  0.0000  0.0000  0.0000  8 Dy 3.32

---

Below is crystalline Cr2MoP at its relaxed geometry, with properties calculated at the PBE level.

- calculated total energy (eV per atom) = -8.993
- space group = No. 44
- D(E_F) (states/eV/cell) = 3.35
- size of the total moment (μB per formula unit) = 0.000

Cell lengths 4.8242, 4.8242, 4.8242 Å; angles 143.16, 131.72, 62.24 degrees
Last column: nearest neighbours and their distance in Å.
Element x y z (fractional)
Cr  0.0000  0.0000  0.0000  4 P 2.50, 2 Cr 2.56, 2 Mo 2.61
Cr  0.7503  0.2503  0.5000  2 P 2.48, 4 Mo 2.49, 2 Cr 2.56
Mo  0.2559  0.7559  0.5000  6 Cr 2.49-2.61, 2 P 2.62
P  0.5137  0.5137  0.0000  6 Cr 2.48-2.50, 2 Mo 2.62

---

Below is crystalline TbDy14Hf at its relaxed geometry, with properties calculated at the PBE level.

- calculated total energy (eV per atom) = -4.891
- space group = No. 123
- D(E_F) (states/eV/cell) = 18.88
- size of the total moment (μB per formula unit) = 0.000

Cell lengths 7.0300, 7.0300, 9.9209 Å; angles 90.00, 90.00, 90.00 degrees
Last column: nearest neighbours and their distance in Å.
Element x y z (fractional)
Tb  0.0000  0.0000  0.0000  12 Dy 3.51-3.52
Dy  0.0000  0.0000  0.5000  12 Dy 3.52-3.59
Dy  0.0000  0.5000  0.0000  8 Dy 3.47, 2 Hf 3.52, 2 Tb 3.52
Dy  0.0000  0.5000  0.5000  12 Dy 3.52-3.55
Dy  0.2554  0.2554  0.2444  1 Hf 3.43, 10 Dy 3.44-3.59, 1 Tb 3.51
Dy  0.2554  0.2554  0.7556  1 Hf 3.43, 10 Dy 3.44-3.59, 1 Tb 3.51
Dy  0.2554  0.7446  0.2444  1 Hf 3.43, 10 Dy 3.44-3.59, 1 Tb 3.51
Dy  0.2554  0.7446  0.7556  1 Hf 3.43, 10 Dy 3.44-3.59, 1 Tb 3.51
Dy  0.5000  0.0000  0.0000  8 Dy 3.47, 2 Hf 3.52, 2 Tb 3.52
Dy  0.5000  0.0000  0.5000  12 Dy 3.52-3.55
Dy  0.5000  0.5000  0.5000  12 Dy 3.51-3.52
Dy  0.7446  0.2554  0.2444  1 Hf 3.43, 10 Dy 3.44-3.59, 1 Tb 3.51
Dy  0.7446  0.2554  0.7556  1 Hf 3.43, 10 Dy 3.44-3.59, 1 Tb 3.51
Dy  0.7446  0.7446  0.2444  1 Hf 3.43, 10 Dy 3.44-3.59, 1 Tb 3.51
Dy  0.7446  0.7446  0.7556  1 Hf 3.43, 10 Dy 3.44-3.59, 1 Tb 3.51
Hf  0.5000  0.5000  0.0000  12 Dy 3.43-3.52